A relaxed Gd3YFe4O12 crystal. Source: Alexandria via LeMat-Bulk, functional GGA-PBEsol.

Results
Raw formation energy   -233.38 kJ/mol of atoms
Volume   10.68 Å³ per atom
DOS at the Fermi energy   13.2 states/eV/f.u.

a = 5.195 Å, b = 5.537 Å, c = 7.423 Å
α = 90.00°, β = 90.00°, γ = 90.03°
Element x y z (fractional)
O 0.587 0.978 0.500
Y 0.523 0.428 0.000
Gd 0.016 0.072 0.500
Gd 0.984 0.928 0.000
O 0.414 0.025 0.000
Gd 0.478 0.569 0.500
O 0.191 0.795 0.296
O 0.907 0.478 0.500
Fe 0.000 0.500 0.249
O 0.298 0.303 0.705
O 0.700 0.694 0.800
O 0.191 0.795 0.704
Fe 0.500 0.000 0.750
Fe 0.000 0.500 0.751
O 0.806 0.208 0.202
O 0.298 0.303 0.295
O 0.806 0.208 0.798
Fe 0.500 0.000 0.250
O 0.102 0.523 0.000
O 0.700 0.694 0.200